DFT (PBE-GGA) results for an optimized crystal structure of Ac8Te4As3Pb.

Properties
The raw formation energy comes out at -137.7 kJ per mole of atoms. Its space group is R-3m, No. 166. The value obtained for the size of the total moment is 0.00 μB per cell. Its total energy is -0.395 Ry per atom.

Unit cell a=9.3311 b=9.4383 c=9.3318 alpha=119.63 beta=120.00 gamma=90.00
Element x y z (fractional)
Ac (0.7353, 0.7298, 0.9826)
As (0.5000, 0.5000, 0.5000)
Te (0.5000, 0.0000, 0.0000)
Ac (0.7527, 0.2702, 0.0174)
Ac (0.7411, 0.7235, 0.4822)
Te (0.5000, 0.0000, 0.5000)
As (0.5000, 0.5000, 0.0000)
Ac (0.2589, 0.2765, 0.5178)
Ac (0.2473, 0.7297, 0.4946)
Ac (0.7527, 0.2703, 0.5054)
Te (0.0000, 0.0000, 0.0000)
Ac (0.2647, 0.2702, 0.0174)
Pb (0.0000, 0.5000, 0.0000)
Ac (0.2473, 0.7298, 0.9826)
Te (0.0000, 0.0000, 0.5000)
As (0.0000, 0.5000, 0.5000)